[1]
Computed, not measured: a geometry-optimized KCdCo2Br8 structure at the PBE level of DFT.

a = 10.5932 Å, b = 10.5932 Å, c = 10.5932 Å
α = 37.18°, β = 37.18°, γ = 37.18°
Atoms (fractional coordinates):
K  0.0000  0.0000  0.0000
Cd  0.5000  0.5000  0.5000
Co  0.2474  0.2474  0.2474
Co  0.7526  0.7526  0.7526
Br  0.1079  0.4387  0.7836
Br  0.2164  0.8921  0.5613
Br  0.3260  0.3260  0.3260
Br  0.4387  0.7836  0.1079
Br  0.5613  0.2164  0.8921
Br  0.6740  0.6740  0.6740
Br  0.7836  0.1079  0.4387
Br  0.8921  0.5613  0.2164

Output
density of states at the Fermi level: 12.4 states/eV/f.u.
formation energy (no corrections): -7.68 eV per formula unit
electronic total energy: -3.11 eV per atom

***

[2]
Computed, not measured: a geometry-optimized AgRuRh2 structure at the PBE level of DFT.

a = 4.7800 Å, b = 4.7800 Å, c = 4.7800 Å
α = 131.88°, β = 131.88°, γ = 70.42°
Atoms (fractional coordinates):
Ag  0.0000  0.0000  0.0000
Ru  0.5000  0.5000  0.0000
Rh  0.2500  0.7500  0.5000
Rh  0.7500  0.2500  0.5000

Output
ΔH_f (0 K): 0.33 eV/atom
density of states at the Fermi level: 5.4 states/eV/f.u.
excess energy over the best structure of this formula in the dataset: 202 meV per atom
electronic total energy: -6.38 eV per atom

***

- Which formula does entry 1 have?
  KCdCo2Br8